# 1
DFT (PBEsol) results for a geometry-optimized ZnHg3Bi structure.

## Properties
Size of the total moment   0.0 μB per formula unit
ΔH_f (0 K)   0.48 eV/atom

Cell and atoms, written as CIF:
```
data_ZnHg3Bi
_chemical_formula_sum 'Zn1 Hg3 Bi1'
_space_group_name_H-M_alt 'P m -3 m'
_space_group_IT_number 221
_space_group_name_Hall '-P 4 2 3'
_cell_length_a 5.767
_cell_length_b 5.767
_cell_length_c 5.767
_cell_angle_alpha 90.00
_cell_angle_beta 90.00
_cell_angle_gamma 90.00
loop_
_atom_site_label
_atom_site_fract_x
_atom_site_fract_y
_atom_site_fract_z
Zn1 0.000 0.000 0.000
Hg1 0.000 0.500 0.500
Bi1 0.500 0.500 0.500
```


# 2
DFT (PBEsol) results for a geometry-optimized CuAs2WSe structure.

## Properties
Size of the total moment   0.0 μB per formula unit
Formation energy without anion corrections   822 meV/atom

Cell and atoms, written as CIF:
```
data_CuAs2WSe
_chemical_formula_sum 'Cu1 As2 W1 Se1'
_space_group_name_H-M_alt 'P 4/m m m'
_space_group_IT_number 123
_space_group_name_Hall '-P 4 2'
_cell_length_a 4.833
_cell_length_b 4.833
_cell_length_c 4.840
_cell_angle_alpha 90.00
_cell_angle_beta 90.00
_cell_angle_gamma 90.00
loop_
_atom_site_label
_atom_site_fract_x
_atom_site_fract_y
_atom_site_fract_z
Cu1 0.000 0.000 0.000
As1 0.000 0.500 0.500
W1 0.500 0.500 0.500
Se1 0.500 0.500 0.000
```


# 3
DFT (PBEsol) results for a geometry-optimized Na2SrAs2 structure.

## Properties
Size of the total moment   0.0 μB per formula unit
ΔH_f (0 K)   -0.59 eV/atom

Cell and atoms, written as CIF:
```
data_Na2SrAs2
_chemical_formula_sum 'Na4 Sr2 As4'
_space_group_name_H-M_alt 'I 4/m m m'
_space_group_IT_number 139
_space_group_name_Hall '-I 4 2'
_cell_length_a 4.465
_cell_length_b 4.465
_cell_length_c 12.613
_cell_angle_alpha 90.00
_cell_angle_beta 90.00
_cell_angle_gamma 90.00
loop_
_atom_site_label
_atom_site_fract_x
_atom_site_fract_y
_atom_site_fract_z
Na1 0.000 0.500 0.250
Sr1 0.000 0.000 0.000
As1 0.000 0.000 0.401
```


# 4
DFT (PBEsol) results for a geometry-optimized MgHg2Cl structure.

## Properties
Size of the total moment   0.0 μB per formula unit
Formation energy without anion corrections   -206 meV/atom

Cell and atoms, written as CIF:
```
data_MgHg2Cl
_chemical_formula_sum 'Mg4 Hg8 Cl4'
_space_group_name_H-M_alt 'F m -3 m'
_space_group_IT_number 225
_space_group_name_Hall '-F 4 2 3'
_cell_length_a 7.257
_cell_length_b 7.257
_cell_length_c 7.257
_cell_angle_alpha 90.00
_cell_angle_beta 90.00
_cell_angle_gamma 90.00
loop_
_atom_site_label
_atom_site_fract_x
_atom_site_fract_y
_atom_site_fract_z
Mg1 0.000 0.000 0.000
Hg1 0.250 0.250 0.250
Cl1 0.000 0.000 0.500
```


# 5
DFT (PBEsol) results for a geometry-optimized IrRu2Pb structure.

## Properties
Size of the total moment   0.0 μB per formula unit
ΔH_f (0 K)   0.61 eV/atom

Cell and atoms, written as CIF:
```
data_IrRu2Pb
_chemical_formula_sum 'Ir3 Ru6 Pb3'
_space_group_name_H-M_alt 'R 3 m'
_space_group_IT_number 160
_space_group_name_Hall 'R 3 -2"'
_cell_length_a 2.8657
_cell_length_b 2.8657
_cell_length_c 27.0729
_cell_angle_alpha 90.00
_cell_angle_beta 90.00
_cell_angle_gamma 120.00
loop_
_atom_site_label
_atom_site_fract_x
_atom_site_fract_y
_atom_site_fract_z
Ir1 0.0000 0.0000 0.0000
Ru1 0.0000 0.0000 0.4851
Ru2 0.0000 0.0000 0.7445
Pb1 0.0000 0.0000 0.2419
```


# 6
DFT (PBEsol) results for a geometry-optimized Zr2ScCd structure.

## Properties
Size of the total moment   0.0 μB per formula unit
ΔH_f (0 K)   -0.09 eV/atom

Cell and atoms, written as CIF:
```
data_Zr2ScCd
_chemical_formula_sum 'Zr2 Sc1 Cd1'
_space_group_name_H-M_alt 'P m m 2'
_space_group_IT_number 25
_cell_length_a 3.189
_cell_length_b 4.199
_cell_length_c 6.433
_cell_angle_alpha 90.00
_cell_angle_beta 90.00
_cell_angle_gamma 90.00
loop_
_space_group_symop_operation_xyz
'x,y,z'
'-x,-y,z'
'-x,y,z'
'x,-y,z'
loop_
_atom_site_label
_atom_site_fract_x
_atom_site_fract_y
_atom_site_fract_z
Zr1 0.000 0.000 0.000
Zr2 0.500 0.500 0.233
Sc1 0.500 0.500 0.739
Cd1 0.000 0.000 0.496
```


# 7
DFT (PBEsol) results for a geometry-optimized Sc2HgSe structure.

## Properties
Size of the total moment   0.0 μB per formula unit
Formation energy without anion corrections   -879 meV/atom

Cell and atoms, written as CIF:
```
data_Sc2HgSe
_chemical_formula_sum 'Sc2 Hg1 Se1'
_space_group_name_H-M_alt 'P 1 2/m 1'
_space_group_IT_number 10
_cell_length_a 3.348
_cell_length_b 3.436
_cell_length_c 7.069
_cell_angle_alpha 90.00
_cell_angle_beta 98.75
_cell_angle_gamma 90.00
loop_
_space_group_symop_operation_xyz
'x,y,z'
'-x,-y,-z'
'-x,y,-z'
'x,-y,z'
loop_
_atom_site_label
_atom_site_fract_x
_atom_site_fract_y
_atom_site_fract_z
Sc1 0.069 0.000 0.266
Hg1 0.500 0.500 0.000
Se1 0.500 0.500 0.500
```


# 8
DFT (PBEsol) results for a geometry-optimized In2TeBr structure.

## Properties
Size of the total moment   0.0 μB per formula unit
Formation energy without anion corrections   -368 meV/atom

Cell and atoms, written as CIF:
```
data_In2TeBr
_chemical_formula_sum 'In2 Te1 Br1'
_space_group_name_H-M_alt 'P 4/m m m'
_space_group_IT_number 123
_space_group_name_Hall '-P 4 2'
_cell_length_a 4.414
_cell_length_b 4.414
_cell_length_c 6.336
_cell_angle_alpha 90.00
_cell_angle_beta 90.00
_cell_angle_gamma 90.00
loop_
_atom_site_label
_atom_site_fract_x
_atom_site_fract_y
_atom_site_fract_z
In1 0.000 0.000 0.000
In2 0.500 0.500 0.500
Te1 0.000 0.000 0.500
Br1 0.500 0.500 0.000
```


# 9
DFT (PBEsol) results for a geometry-optimized AgPt2 structure.

## Properties
Size of the total moment   0.0 μB per formula unit
ΔH_f (0 K)   0.05 eV/atom

Cell and atoms, written as CIF:
```
data_AgPt2
_chemical_formula_sum 'Ag4 Pt8'
_space_group_name_H-M_alt 'C m c m'
_space_group_IT_number 63
_space_group_name_Hall '-C 2c 2'
_cell_length_a 4.015
_cell_length_b 11.800
_cell_length_c 3.886
_cell_angle_alpha 90.00
_cell_angle_beta 90.00
_cell_angle_gamma 90.00
loop_
_atom_site_label
_atom_site_fract_x
_atom_site_fract_y
_atom_site_fract_z
Ag1 0.000 0.083 0.250
Pt1 0.000 0.252 0.750
Pt2 0.000 0.417 0.250
```


# 10
DFT (PBEsol) results for a geometry-optimized Sb3Au2 structure.

## Properties
Size of the total moment   0.0 μB per formula unit
Formation energy without anion corrections   33 meV/atom

Cell and atoms, written as CIF:
```
data_Sb3Au2
_chemical_formula_sum 'Sb3 Au2'
_space_group_name_H-M_alt 'P -3 m 1'
_space_group_IT_number 164
_space_group_name_Hall '-P 3 2"'
_cell_length_a 4.5325
_cell_length_b 4.5325
_cell_length_c 6.8771
_cell_angle_alpha 90.00
_cell_angle_beta 90.00
_cell_angle_gamma 120.00
loop_
_atom_site_label
_atom_site_fract_x
_atom_site_fract_y
_atom_site_fract_z
Sb1 0.0000 0.0000 0.0000
Sb2 0.3333 0.6667 0.3401
Au1 0.3333 0.6667 0.7796
```


Look up the size of the total moment of the sixth one. 0.0 μB per formula unit


Which formula does entry 6 have? Zr2ScCd